i) Material: AcGdSc
Method: DFT, PBE
State: optimized geometry

Lattice parameters (Å, degrees): 3.783 3.783 14.098 90.00 90.00 90.00
Space group I4mm (No. 107)
Inequivalent atoms, fractional coordinates:
Ac: 0.000 0.000 0.000 [2 per cell]
Gd: 0.000 0.000 0.688 [2 per cell]
Sc: 0.000 0.000 0.334 [2 per cell]

- Magnetization: 15.13 Bohr magnetons per cell

ii) Material: AcGdSc
Method: DFT, PBE
State: optimized geometry

Lattice parameters (Å, degrees): 5.6837 5.6837 3.5786 90.00 90.00 120.00
Space group P3m1 (No. 156)
Inequivalent atoms, fractional coordinates:
Ac: 0.0000 0.0000 0.0000 [1 per cell]
Gd: 0.3333 0.6667 0.5010 [1 per cell]
Sc: 0.6667 0.3333 0.4990 [1 per cell]

- Magnetization: 7.92 Bohr magnetons per cell

Which structure is most stable? i), by 0.9 kJ/mol of atoms over the runner-up.